Entry 1:
LiTl2Mo | PBE | relaxed

Properties
As for the energy relative to the lowest polymorph listed for this composition: 32 meV per atom. The total magnetization comes out at 0.000 μB/f.u. Its space-group type is Cm (8). For the formation energy, the calculation gives 0.38 eV/atom. For the density, the calculation gives 10.58 g/cm³. The total energy comes out at -0.14649 Ha/atom.

abc: 5.6603 5.6603 4.9934
angles: 106.42 106.42 31.69
With the nearest neighbours (Å) after each atom.
Atoms (fractional coordinates):
Li  0.0000  0.0000  0.0000  7 Tl 2.83-3.12, 2 Li 3.09
Tl  0.5176  0.5176  0.5387  4 Li 2.83-3.06, 3 Mo 2.96, 2 Tl 3.09
Tl  0.7592  0.7592  0.1103  3 Li 2.83-3.12, 4 Mo 2.92-2.95, 2 Tl 3.09
Mo  0.2563  0.2563  0.6051  7 Tl 2.92-2.96, 2 Mo 3.09, 2 Li 3.20

Entry 2:
LiTl2Mo | PBE | relaxed

Properties
As for the energy relative to the lowest polymorph listed for this composition: 41 meV per atom. The total magnetization comes out at 0.025 μB/f.u. Its space-group type is Pmmm (47). For the formation energy, the calculation gives 0.39 eV/atom. For the density, the calculation gives 11.00 g/cm³. The total energy comes out at -0.14615 Ha/atom.

abc: 3.1022 3.7408 6.6545
angles: 90.00 90.00 90.00
With the nearest neighbours (Å) after each atom.
Atoms (fractional coordinates):
Li  0.0000  0.0000  0.0000  8 Tl 2.92, 2 Li 3.10
Tl  0.5000  0.5000  0.2423  4 Li 2.92, 4 Mo 2.97, 3 Tl 3.10-3.23
Tl  0.5000  0.5000  0.7577  4 Li 2.92, 4 Mo 2.97, 3 Tl 3.10-3.23
Mo  0.0000  0.0000  0.5000  8 Tl 2.97, 2 Mo 3.10, 2 Li 3.33

Entry 3:
LiTl2Mo | PBE | relaxed

Properties
As for the energy relative to the lowest polymorph listed for this composition: 131 meV per atom. The total magnetization comes out at 0.903 μB/f.u. Its space-group type is I-4m2 (119). For the formation energy, the calculation gives 0.48 eV/atom. For the density, the calculation gives 10.60 g/cm³. The total energy comes out at -0.14283 Ha/atom.

abc: 5.7282 5.7282 5.7282
angles: 138.98 138.98 59.41
With the nearest neighbours (Å) after each atom.
Atoms (fractional coordinates):
Li  0.0000  0.0000  0.0000  4 Tl 2.84
Tl  0.5000  0.5000  0.0000  4 Li 2.84
Tl  0.7500  0.2500  0.5000  4 Mo 2.84
Mo  0.2500  0.7500  0.5000  4 Tl 2.84

Entry 4:
LiTlMo4 | PBE | relaxed

Properties
The total magnetization comes out at 0.000 μB/f.u. Its space-group type is F-43m (216). For the formation energy, the calculation gives 0.60 eV/atom. For the density, the calculation gives 9.22 g/cm³. The total energy comes out at -0.26939 Ha/atom.

abc: 5.3318 5.3318 5.3318
angles: 60.00 60.00 60.00
With the nearest neighbours (Å) after each atom.
Atoms (fractional coordinates):
Li  0.0000  0.0000  0.0000  12 Mo 3.12, 4 Tl 3.27
Tl  0.2500  0.2500  0.2500  12 Mo 3.13, 4 Li 3.27
Mo  0.1198  0.6267  0.6267  6 Mo 2.63-2.70
Mo  0.6267  0.1198  0.6267  6 Mo 2.63-2.70
Mo  0.6267  0.6267  0.1198  6 Mo 2.63-2.70
Mo  0.6267  0.6267  0.6267  6 Mo 2.63-2.70